Entry 1:
The following is a DFT calculation (PBE) of ZnRePt after structural relaxation.

E_form: -58 meV per atom
E above lowest polymorph: 0 meV per atom

a b c (Å): 2.7909 2.7909 13.2529
angles (deg): 90.00 90.00 120.00
Last column: nearest neighbours and their distance in Å.
Fractional coordinates of all 6 atoms:
Zn  0.0000  0.0000  0.1674  3 Pt 2.72, 3 Re 2.74, 6 Zn 2.79
Zn  0.0000  0.0000  0.8326  3 Pt 2.72, 3 Re 2.74, 6 Zn 2.79
Re  0.0000  0.0000  0.5000  6 Pt 2.74, 6 Re 2.79
Re  0.3333  0.6667  0.0000  6 Zn 2.74, 6 Re 2.79
Pt  0.3333  0.6667  0.3325  3 Zn 2.72, 3 Re 2.74, 6 Pt 2.79
Pt  0.3333  0.6667  0.6675  3 Zn 2.72, 3 Re 2.74, 6 Pt 2.79

=====

Entry 2:
The following is a DFT calculation (PBE) of SmBO3 after structural relaxation.

Uncorrected formation energy: -3.039 eV/atom

a b c (Å): 6.7177 8.6873 4.4764
angles (deg): 90.00 90.00 90.00
Last column: nearest neighbours and their distance in Å.
Fractional coordinates of all 20 atoms:
Sm  0.0000  0.0000  0.0000  6 O 2.35-2.38
Sm  0.0000  0.5000  0.0000  6 O 2.35-2.38
Sm  0.5000  0.0000  0.5000  6 O 2.35-2.38
Sm  0.5000  0.5000  0.5000  6 O 2.35-2.38
B  0.1326  0.2500  0.4635  3 O 1.38-1.40
B  0.3674  0.7500  0.9635  3 O 1.38-1.40
B  0.6326  0.2500  0.0365  3 O 1.38-1.40
B  0.8674  0.7500  0.5365  3 O 1.38-1.40
O  0.0311  0.2500  0.1961  1 B 1.38
O  0.1801  0.1087  0.5934  1 B 1.40
O  0.1801  0.3913  0.5934  1 B 1.40
O  0.3199  0.6087  0.0934  1 B 1.40
O  0.3199  0.8913  0.0934  1 B 1.40
O  0.4689  0.7500  0.6961  1 B 1.38
O  0.5311  0.2500  0.3039  1 B 1.38
O  0.6801  0.1087  0.9066  1 B 1.40
O  0.6801  0.3913  0.9066  1 B 1.40
O  0.8199  0.6087  0.4066  1 B 1.40
O  0.8199  0.8913  0.4066  1 B 1.40
O  0.9689  0.7500  0.8039  1 B 1.38

=====

Entry 3:
The following is a DFT calculation (PBE) of K2HgMo2 after structural relaxation.

E_form: 1070 meV per atom
E above lowest polymorph: 0 meV per atom

a b c (Å): 10.3976 10.3976 3.0153
angles (deg): 90.00 90.00 90.00
Last column: nearest neighbours and their distance in Å.
Fractional coordinates of all 10 atoms:
K  0.2117  0.2883  0.0000  2 K 3.02
K  0.2883  0.7883  0.0000  2 K 3.02
K  0.7117  0.2117  0.0000  2 K 3.02
K  0.7883  0.7117  0.0000  2 K 3.02
Hg  0.0000  0.0000  0.5000  2 Hg 3.02
Hg  0.5000  0.5000  0.5000  2 Hg 3.02
Mo  0.0710  0.5710  0.5000  1 Mo 2.09
Mo  0.4290  0.0710  0.5000  1 Mo 2.09
Mo  0.5710  0.9290  0.5000  1 Mo 2.09
Mo  0.9290  0.4290  0.5000  1 Mo 2.09

=====

Entry 4:
The following is a DFT calculation (PBE) of Dy4CoRh after structural relaxation.

E_form: -325 meV per atom
E above lowest polymorph: 71 meV per atom

a b c (Å): 7.5680 7.5680 7.5680
angles (deg): 106.63 106.63 115.31
Last column: nearest neighbours and their distance in Å.
Fractional coordinates of all 12 atoms:
Dy  0.1976  0.0000  0.1976  1 Co 2.67, 2 Rh 2.74-2.76
Dy  0.2357  0.5318  0.2961  2 Co 2.68, 1 Rh 2.77
Dy  0.2357  0.9396  0.7039  2 Co 2.68, 1 Rh 2.77
Dy  0.2818  0.4857  0.7961  2 Co 2.68, 1 Rh 2.77
Dy  0.6896  0.4857  0.2039  2 Co 2.68, 1 Rh 2.77
Dy  0.7500  0.0524  0.3024  1 Co 2.67, 2 Rh 2.74-2.76
Dy  0.7500  0.4476  0.6976  1 Co 2.67, 2 Rh 2.74-2.76
Dy  0.8024  0.0000  0.8024  1 Co 2.67, 2 Rh 2.74-2.76
Co  0.2447  0.2447  0.0000  6 Dy 2.67-2.68
Co  0.9947  0.4947  0.5000  6 Dy 2.67-2.68
Rh  0.4905  0.9905  0.5000  6 Dy 2.74-2.77
Rh  0.7405  0.7405  0.0000  6 Dy 2.74-2.77

=====

Entry 5:
The following is a DFT calculation (PBE) of Sc2NbTc after structural relaxation.

E_form: 429 meV per atom
E above lowest polymorph: 256 meV per atom

a b c (Å): 10.0968 10.0968 10.0968
angles (deg): 17.11 17.11 17.11
Last column: nearest neighbours and their distance in Å.
Fractional coordinates of all 4 atoms:
Sc  0.0833  0.0833  0.0833  1 Tc 2.49
Sc  0.9167  0.9167  0.9167  1 Tc 2.49
Nb  0.5000  0.5000  0.5000  6 Nb 3.00, 6 Sc 3.03
Tc  0.0000  0.0000  0.0000  2 Sc 2.49

=====

Entry 6:
The following is a DFT calculation (PBE) of LaSi2Br after structural relaxation.

E above lowest polymorph: 1002 meV per atom
Uncorrected formation energy: 0.251 eV/atom

a b c (Å): 5.1490 5.1490 5.1490
angles (deg): 60.00 60.00 60.00
Last column: nearest neighbours and their distance in Å.
Fractional coordinates of all 4 atoms:
La  0.0000  0.0000  0.0000  8 Si 3.15
Si  0.2500  0.2500  0.2500  4 La 3.15, 4 Br 3.15
Si  0.7500  0.7500  0.7500  4 La 3.15, 4 Br 3.15
Br  0.5000  0.5000  0.5000  8 Si 3.15

=====

N(E_F) for every record listed, in sequence, given in states/eV per cell: 4.2; 0.0; 7.9; 8.2; 4.7; 2.4.